Record 1
MnNbAu2 after structural relaxation, computed with GGA-PBE.

Output
- energy of formation (kJ/mol of formula units) = 195
- M_tot (μB per formula unit) = 0.0

a b c (Å): 3.754 3.754 10.174
angles (deg): 79.37 79.37 90.00
Positions (direct):
Nb 0.750 0.250 0.500
Au 0.375 0.382 0.750
Mn 0.500 0.500 0.000
Nb 0.000 0.000 0.000
Au 0.875 0.868 0.750
Mn 0.250 0.750 0.500
Au 0.618 0.125 0.250
Au 0.132 0.625 0.250

---

Record 2
MnNb2Au after structural relaxation, computed with GGA-PBE.

Output
- distance to the lowest polymorph of the same formula (meV/atom) = 0
- energy of formation (kJ/mol of formula units) = -22
- M_tot (μB per formula unit) = 0.0

a b c (Å): 2.941 2.941 7.551
angles (deg): 90.00 90.00 90.00
Positions (direct):
Nb 0.000 0.000 0.212
Nb 0.000 0.000 0.788
Mn 0.500 0.500 0.000
Au 0.500 0.500 0.500

---

Record 3
MnNbAu2 after structural relaxation, computed with GGA-PBE.

Output
- energy of formation (kJ/mol of formula units) = 158
- M_tot (μB per formula unit) = 0.0

a b c (Å): 4.539 4.539 4.539
angles (deg): 60.00 60.00 60.00
Positions (direct):
Au 0.250 0.250 0.250
Nb 0.500 0.500 0.500
Au 0.750 0.750 0.750
Mn 0.000 0.000 0.000

---

Record 4
MnNb2NiAu after structural relaxation, computed with GGA-PBE.

Output
- energy of formation (kJ/mol of formula units) = 420
- M_tot (μB per formula unit) = 0.0

a b c (Å): 4.593 4.217 4.593
angles (deg): 90.00 90.00 90.00
Positions (direct):
Au 0.500 0.500 0.500
Nb 0.000 0.000 0.500
Nb 0.500 0.000 0.000
Mn 0.000 0.500 0.000
Ni 0.000 0.000 0.000